! Sm2BeCu3Ni12 | the Alexandria database | PBE | optimized geometry; values from VASP
! Total DFT energy (no corrections)   -5.08 eV/atom
! Energy relative to the elements   184.0 meV/atom
! Crystal system   trigonal
! Total magnetic moment   0.01 μB/cell
&SYSTEM
  ibrav = 0, nat = 18, ntyp = 4
/
ATOMIC_SPECIES
Sm 150.36 Sm.upf
Be 9.01 Be.upf
Cu 63.55 Cu.upf
Ni 58.69 Ni.upf
CELL_PARAMETERS angstrom
3.013 1.740 8.082
-3.013 1.740 8.082
0.000 -3.480 8.082
ATOMIC_POSITIONS crystal
Sm 0.157 0.157 0.157
Sm 0.843 0.843 0.843
Be 0.500 0.500 0.500
Cu 0.000 0.500 0.500
Cu 0.500 0.000 0.500
Cu 0.500 0.500 0.000
Ni 0.076 0.076 0.686
Ni 0.076 0.686 0.076
Ni 0.163 0.568 0.568
Ni 0.314 0.924 0.924
Ni 0.432 0.432 0.837
Ni 0.432 0.837 0.432
Ni 0.568 0.163 0.568
Ni 0.568 0.568 0.163
Ni 0.686 0.076 0.076
Ni 0.837 0.432 0.432
Ni 0.924 0.314 0.924
Ni 0.924 0.924 0.314